1.
A plane-wave DFT calculation with PBE-GGA was carried out for a relaxed structure of Ga2PbSe.

Cell: 6.190 6.190 7.590 Å, 65.94 65.94 90.00°
Fractional positions:
Pb (0.000, 0.000, 0.000)
Pb (0.750, 0.250, 0.500)
Ga (0.610, 0.125, 0.250)
Ga (0.140, 0.625, 0.250)
Ga (0.375, 0.390, 0.750)
Ga (0.875, 0.860, 0.750)
Se (0.500, 0.500, 0.000)
Se (0.250, 0.750, 0.500)

Computed properties:
Size of the total moment (μB per cell): 0.00
Energy above the lowest structure with this stoichiometry (meV/atom): 0.0
Density of states at the Fermi level (states/eV/cell): 0.0
Symmetry: I-42d, No. 122
Calculated density (g/cm3): 5.95
ΔE_f (raw) (meV per atom): -118


2.
A plane-wave DFT calculation with PBE-GGA was carried out for a relaxed structure of InTcAu2Cl.

Cell: 4.823 5.575 4.823 Å, 90.00 90.00 90.00°
Fractional positions:
Cl (0.000, 0.000, 0.000)
Au (0.000, 0.000, 0.500)
Au (0.500, 0.000, 0.000)
Tc (0.500, 0.500, 0.500)
In (0.000, 0.500, 0.000)

Computed properties:
Size of the total moment (μB per cell): 3.75
Density of states at the Fermi level (states/eV/cell): 3.4
Symmetry: P4/mmm, No. 123
Calculated density (g/cm3): 8.22
ΔE_f (raw) (meV per atom): 1281


3.
A plane-wave DFT calculation with PBE-GGA was carried out for a relaxed structure of NdErCd.

Cell: 3.664 5.282 5.282 Å, 120.00 90.00 90.00°
Fractional positions:
Cd (0.725, 0.667, 0.333)
Nd (0.362, 0.333, 0.667)
Er (0.913, 0.000, 0.000)

Computed properties:
Size of the total moment (μB per cell): 0.00
Energy above the lowest structure with this stoichiometry (meV/atom): 119.0
Density of states at the Fermi level (states/eV/cell): 4.2
ΔE_f (eV per atom): -0.074
Symmetry: P3m1, No. 156
Calculated density (g/cm3): 7.95


4.
A plane-wave DFT calculation with PBE-GGA was carried out for a relaxed structure of TbBe3Ge3.

Cell: 6.253 6.253 6.253 Å, 90.00 90.00 90.00°
Fractional positions:
Be (0.000, 0.250, 0.500)
Be (0.000, 0.750, 0.500)
Be (0.500, 0.000, 0.750)
Be (0.750, 0.500, 0.000)
Be (0.500, 0.000, 0.250)
Be (0.250, 0.500, 0.000)
Ge (0.250, 0.000, 0.500)
Ge (0.000, 0.500, 0.250)
Ge (0.500, 0.750, 0.000)
Ge (0.750, 0.000, 0.500)
Ge (0.000, 0.500, 0.750)
Ge (0.500, 0.250, 0.000)
Tb (0.500, 0.500, 0.500)
Tb (0.000, 0.000, 0.000)

Computed properties:
Size of the total moment (μB per cell): 0.00
Density of states at the Fermi level (states/eV/cell): 3.9
ΔE_f (eV per atom): 0.161
Symmetry: Pm-3n, No. 223
Calculated density (g/cm3): 5.49


5.
A plane-wave DFT calculation with PBE-GGA was carried out for a relaxed structure of FePtIN2.

Cell: 3.786 3.786 8.165 Å, 90.00 90.00 90.00°
Fractional positions:
I (0.000, 0.000, 0.500)
Fe (0.500, 0.500, 0.500)
Pt (0.000, 0.000, 0.000)
N (0.000, 0.500, 0.000)
N (0.500, 0.000, 0.000)

Computed properties:
Size of the total moment (μB per cell): 3.26
Energy above the lowest structure with this stoichiometry (meV/atom): 234.5
Density of states at the Fermi level (states/eV/cell): 6.2
Symmetry: P4/mmm, No. 123
Calculated density (g/cm3): 5.76
ΔE_f (raw) (meV per atom): 1333


6.
A plane-wave DFT calculation with PBE-GGA was carried out for a relaxed structure of CsK7Au2.

Cell: 6.627 10.307 10.307 Å, 116.98 90.00 90.00°
Fractional positions:
Cs (0.000, 0.000, 0.000)
K (0.000, 0.690, 0.310)
K (0.000, 0.310, 0.690)
K (0.500, 0.049, 0.343)
K (0.500, 0.951, 0.657)
K (0.500, 0.343, 0.049)
K (0.500, 0.657, 0.951)
K (0.500, 0.500, 0.500)
Au (0.500, 0.698, 0.302)
Au (0.500, 0.302, 0.698)

Computed properties:
Size of the total moment (μB per cell): 0.00
Density of states at the Fermi level (states/eV/cell): 7.0
ΔE_f (eV per atom): -0.103
Symmetry: Cmmm, No. 65
Calculated density (g/cm3): 2.12


7.
A plane-wave DFT calculation with PBE-GGA was carried out for a relaxed structure of Nd2ScP3Rh4.

Cell: 4.015 4.015 10.873 Å, 90.00 90.00 90.00°
Fractional positions:
Nd (0.500, 0.000, 0.230)
Nd (0.000, 0.500, 0.770)
Sc (0.500, 0.500, 0.500)
P (0.000, 0.000, 0.500)
P (0.500, 0.000, 0.870)
P (0.000, 0.500, 0.130)
Rh (0.500, 0.500, 0.000)
Rh (0.000, 0.000, 0.000)
Rh (0.500, 0.000, 0.652)
Rh (0.000, 0.500, 0.348)

Computed properties:
Size of the total moment (μB per cell): 0.00
Density of states at the Fermi level (states/eV/cell): 6.1
ΔE_f (eV per atom): -1.098
Symmetry: P-4m2, No. 115
Calculated density (g/cm3): 7.94


8.
A plane-wave DFT calculation with PBE-GGA was carried out for a relaxed structure of DyZnSnPt.

Cell: 4.842 4.842 4.842 Å, 60.00 60.00 60.00°
Fractional positions:
Zn (0.000, 0.000, 0.000)
Sn (0.750, 0.750, 0.750)
Pt (0.500, 0.500, 0.500)
Dy (0.250, 0.250, 0.250)

Computed properties:
Size of the total moment (μB per cell): 0.00
Density of states at the Fermi level (states/eV/cell): 2.2
ΔE_f (eV per atom): -0.676
Symmetry: F-43m, No. 216
Calculated density (g/cm3): 11.20


9.
A plane-wave DFT calculation with PBE-GGA was carried out for a relaxed structure of NaLiCuF4.

Cell: 6.662 6.139 6.430 Å, 121.58 90.00 122.86°
Fractional positions:
Na (0.890, 0.779, 0.140)
Na (0.110, 0.221, 0.860)
Li (0.500, 0.000, 0.500)
Li (0.500, 0.000, 0.000)
Cu (0.500, 0.500, 0.500)
Cu (0.000, 0.500, 0.500)
F (0.753, 0.506, 0.712)
F (0.307, 0.029, 0.264)
F (0.722, 0.029, 0.264)
F (0.753, 0.506, 0.293)
F (0.247, 0.494, 0.707)
F (0.693, 0.971, 0.736)
F (0.278, 0.971, 0.736)
F (0.247, 0.494, 0.288)

Computed properties:
Size of the total moment (μB per cell): 2.00
Density of states at the Fermi level (states/eV/cell): 4.1
Symmetry: Imma, No. 74
Calculated density (g/cm3): 3.26
ΔE_f (raw) (meV per atom): -2263


10.
A plane-wave DFT calculation with PBE-GGA was carried out for a relaxed structure of ThRe3N8.

Cell: 5.700 5.700 6.509 Å, 90.00 90.00 120.00°
Fractional positions:
Th (0.000, 0.000, 0.500)
Re (0.667, 0.333, 0.723)
Re (0.333, 0.667, 0.277)
Re (0.000, 0.000, 0.000)
N (0.690, 0.845, 0.192)
N (0.155, 0.310, 0.192)
N (0.155, 0.845, 0.192)
N (0.310, 0.155, 0.808)
N (0.845, 0.690, 0.808)
N (0.845, 0.155, 0.808)
N (0.667, 0.333, 0.454)
N (0.333, 0.667, 0.546)

Computed properties:
Size of the total moment (μB per cell): 0.00
Density of states at the Fermi level (states/eV/cell): 3.0
Symmetry: P-3m1, No. 164
Calculated density (g/cm3): 8.19
ΔE_f (raw) (meV per atom): -116


11.
A plane-wave DFT calculation with PBE-GGA was carried out for a relaxed structure of NaPr4Te5.

Cell: 4.549 6.398 12.032 Å, 105.42 100.90 90.00°
Fractional positions:
Na (0.000, 0.000, 0.000)
Pr (0.399, 0.399, 0.798)
Pr (0.797, 0.797, 0.594)
Pr (0.203, 0.203, 0.406)
Pr (0.601, 0.601, 0.202)
Te (0.601, 0.101, 0.201)
Te (0.801, 0.301, 0.602)
Te (0.199, 0.699, 0.398)
Te (0.000, 0.500, 0.000)
Te (0.399, 0.899, 0.799)

Computed properties:
Size of the total moment (μB per cell): 0.00
Energy above the lowest structure with this stoichiometry (meV/atom): 0.0
Density of states at the Fermi level (states/eV/cell): 2.7
Symmetry: Immm, No. 71
Calculated density (g/cm3): 6.14
ΔE_f (raw) (meV per atom): -1409


12.
A plane-wave DFT calculation with PBE-GGA was carried out for a relaxed structure of Zr2Ti2Al.

Cell: 4.013 4.013 7.030 Å, 73.41 73.41 90.00°
Fractional positions:
Al (0.000, 0.000, 0.000)
Zr (0.750, 0.250, 0.500)
Zr (0.250, 0.750, 0.500)
Ti (0.419, 0.419, 0.163)
Ti (0.581, 0.581, 0.837)

Computed properties:
Size of the total moment (μB per cell): 0.00
Energy above the lowest structure with this stoichiometry (meV/atom): 590.4
Density of states at the Fermi level (states/eV/cell): 5.7
ΔE_f (eV per atom): 0.461
Symmetry: I4/mmm, No. 139
Calculated density (g/cm3): 4.89